DFT (PBE) results for an optimized crystal structure of YEr7Tm4.

a = 6.432 Å, b = 6.735 Å, c = 8.903 Å
α = 85.35°, β = 76.65°, γ = 81.24°
Space group P-1 (No. 2)
Asymmetric unit:
1 Y 0.000 0.000 0.000 x1
2 Er 0.000 0.500 0.000 x1
3 Er 0.190 0.106 0.388 x2
4 Er 0.317 0.705 0.643 x2
5 Er 0.483 0.250 0.050 x2
6 Tm 0.164 0.615 0.313 x2
7 Tm 0.360 0.196 0.712 x2

Properties
- DFT formation energy (eV per formula unit) = 1.1
- DOS(E_F) (states/eV per cell) = 21.44
- energy above the lowest structure with this stoichiometry (meV/atom) = 0
- magnetic moment (μB/cell) = 0.000



DFT (PBE) results for an optimized crystal structure of CaScAg2.

a = 10.718 Å, b = 3.388 Å, c = 5.159 Å
α = 90.00°, β = 104.04°, γ = 90.00°
Space group Cm (No. 8)
Asymmetric unit:
1 Ca 0.000 0.000 0.000 x2
2 Sc 0.213 0.000 0.619 x2
3 Ag 0.250 0.500 0.160 x2
4 Ag 0.472 0.000 0.484 x2

Properties
- DFT formation energy (eV per formula unit) = -0.6
- DOS(E_F) (states/eV per cell) = 5.18
- magnetic moment (μB/cell) = 0.000



DFT (PBE) results for an optimized crystal structure of Pr2Ho7Mg.

a = 6.485 Å, b = 28.853 Å, c = 3.425 Å
α = 90.00°, β = 90.00°, γ = 90.00°
Space group Cmmm (No. 65)
Asymmetric unit:
1 Pr 0.000 0.207 0.000 x4
2 Ho 0.000 0.000 0.000 x2
3 Ho 0.000 0.317 0.500 x4
4 Ho 0.245 0.404 0.000 x8
5 Mg 0.000 0.500 0.500 x2

Properties
- DFT formation energy (eV per formula unit) = 1.8
- DOS(E_F) (states/eV per cell) = 28.68
- magnetic moment (μB/cell) = 0.000



DFT (PBE) results for an optimized crystal structure of SrMgTa2.

a = 11.548 Å, b = 3.022 Å, c = 5.394 Å
α = 90.00°, β = 103.07°, γ = 90.00°
Space group C2/m (No. 12)
Asymmetric unit:
1 Sr 0.000 0.000 0.000 x2
2 Mg 0.000 0.500 0.500 x2
3 Ta 0.229 0.000 0.708 x4

Properties
- DFT formation energy (eV per formula unit) = 2.9
- DOS(E_F) (states/eV per cell) = 8.26
- magnetic moment (μB/cell) = 0.000



DFT (PBE) results for an optimized crystal structure of YAsSe2Cl.

a = 5.385 Å, b = 5.385 Å, c = 5.747 Å
α = 90.00°, β = 90.00°, γ = 90.00°
Space group P4/mmm (No. 123)
Asymmetric unit:
1 Y 0.000 0.000 0.000 x1
2 As 0.000 0.000 0.500 x1
3 Se 0.000 0.500 0.000 x2
4 Cl 0.500 0.500 0.500 x1

Properties
- DOS(E_F) (states/eV per cell) = 4.08
- energy above the lowest structure with this stoichiometry (meV/atom) = 0
- magnetic moment (μB/cell) = 0.443
- formation energy from raw total energies (meV/atom) = -8



DFT (PBE) results for an optimized crystal structure of Dy5TmSc4.

a = 3.469 Å, b = 3.469 Å, c = 23.567 Å
α = 90.00°, β = 90.00°, γ = 90.00°
Space group P4/mmm (No. 123)
Asymmetric unit:
1 Dy 0.000 0.000 0.000 x1
2 Dy 0.000 0.000 0.196 x2
3 Dy 0.000 0.000 0.394 x2
4 Tm 0.500 0.500 0.500 x1
5 Sc 0.500 0.500 0.098 x2
6 Sc 0.500 0.500 0.295 x2

Properties
- DFT formation energy (eV per formula unit) = 0.5
- DOS(E_F) (states/eV per cell) = 16.68
- energy above the lowest structure with this stoichiometry (meV/atom) = 0
- magnetic moment (μB/cell) = 0.001



DFT (PBE) results for an optimized crystal structure of CuRu2I.

a = 6.269 Å, b = 6.269 Å, c = 6.269 Å
α = 90.00°, β = 90.00°, γ = 90.00°
Space group Fm-3m (No. 225)
Asymmetric unit:
1 Cu 0.000 0.000 0.000 x4
2 Ru 0.250 0.250 0.250 x8
3 I 0.000 0.000 0.500 x4

Properties
- DOS(E_F) (states/eV per cell) = 9.03
- energy above the lowest structure with this stoichiometry (meV/atom) = 0
- magnetic moment (μB/cell) = 0.000
- formation energy from raw total energies (meV/atom) = 736



DFT (PBE) results for an optimized crystal structure of Hf2BeNiH.

a = 4.353 Å, b = 4.353 Å, c = 3.454 Å
α = 90.00°, β = 90.00°, γ = 90.00°
Space group P4/mmm (No. 123)
Asymmetric unit:
1 Hf 0.000 0.500 0.000 x2
2 Be 0.000 0.000 0.500 x1
3 Ni 0.500 0.500 0.500 x1
4 H 0.500 0.500 0.000 x1

Properties
- DOS(E_F) (states/eV per cell) = 4.37
- energy above the lowest structure with this stoichiometry (meV/atom) = 0
- magnetic moment (μB/cell) = 0.000